Ac3GaP2Pt8 after structural relaxation, computed with GGA-PBE.

Structure (extended XYZ):
```
14
Lattice="-2.377 5.059 -0.999 -1.586 -3.038 4.527 7.254 4.508 5.567" Properties=species:S:1:pos:R:3 pbc="T T T"
Ac 2.372 2.285 5.925
Ac 0.919 4.244 3.170
Ac 0.000 0.000 0.000
Ga 3.627 2.254 2.784
P -0.980 0.202 3.353
P 4.270 6.327 5.742
Pt 4.678 3.717 7.695
Pt -1.387 2.811 1.401
Pt 0.333 -0.427 5.188
Pt 2.957 6.956 3.907
Pt 1.134 1.106 2.903
Pt 2.157 5.422 6.192
Pt -0.866 2.126 4.684
Pt 4.157 4.402 4.411
```

Calculated density, g/cm³: 13.85
Raw total energy, eV per atom: -6.150
Formation enthalpy at 0 K, eV/f.u.: -11.60

LaTlGa after structural relaxation, computed with GGA-PBE.

Structure (extended XYZ):
```
3
Lattice="4.972 0.000 0.000 2.486 4.305 0.000 2.486 1.435 4.059" Properties=species:S:1:pos:R:3 pbc="T T T"
Tl 0.000 0.000 0.000
Ga 2.486 1.435 1.015
La 4.972 2.870 2.030
```

Calculated density, g/cm³: 7.89
Raw total energy, eV per atom: -3.793
Formation enthalpy at 0 K, eV/f.u.: -1.06

BaCaN3 after structural relaxation, computed with GGA-PBE.

Structure (extended XYZ):
```
5
Lattice="-4.140 -0.089 1.786 1.414 -2.922 3.131 1.095 3.434 2.711" Properties=species:S:1:pos:R:3 pbc="T T T"
Ca -0.816 0.211 3.814
Ba 0.000 0.000 0.000
N 0.707 -1.461 1.566
N 0.547 1.717 1.355
N -2.070 -0.045 0.893
```

Formation energy (no corrections), meV per atom: 1445
Calculated density, g/cm³: 3.97
Raw total energy, eV per atom: -4.335

CaTlP after structural relaxation, computed with GGA-PBE.

Structure (extended XYZ):
```
3
Lattice="-5.005 -0.842 3.536 -0.428 -1.531 5.978 2.750 3.721 -4.105" Properties=species:S:1:pos:R:3 pbc="T T T"
Ca -5.258 -2.297 9.207
P -1.842 -0.805 3.225
Tl -3.766 -1.645 6.595
```

Calculated density, g/cm³: 5.96
Raw total energy, eV per atom: -3.574
Formation enthalpy at 0 K, eV/f.u.: -0.94

Pr2NiRu after structural relaxation, computed with GGA-PBE.

Structure (extended XYZ):
```
4
Lattice="-0.894 2.971 -2.729 0.119 -2.754 -3.038 -5.406 0.395 2.200" Properties=species:S:1:pos:R:3 pbc="T T T"
Pr -5.094 -2.324 -0.862
Pr -3.297 0.962 -1.001
Ni -1.019 -0.008 -2.803
Ru -1.991 -1.754 -1.257
```

Calculated density, g/cm³: 7.90
Raw total energy, eV per atom: -6.362
Formation enthalpy at 0 K, eV/f.u.: -0.83

Tm2PuRu3 after structural relaxation, computed with GGA-PBE.

Structure (extended XYZ):
```
6
Lattice="-3.052 -1.137 0.268 0.951 -1.311 5.263 -1.077 7.387 -0.847" Properties=species:S:1:pos:R:3 pbc="T T T"
Tm -2.242 1.505 0.780
Tm -0.936 3.434 3.905
Pu 0.475 -0.655 2.632
Ru -1.479 4.285 1.334
Ru 0.000 0.000 0.000
Ru -1.699 0.654 3.350
```

Calculated density, g/cm³: 12.02
Raw total energy, eV per atom: -8.495
Formation enthalpy at 0 K, eV/f.u.: 0.13

TiS2ClF after structural relaxation, computed with GGA-PBE.

Structure (extended XYZ):
```
5
Lattice="-1.314 2.148 -3.269 1.661 -2.816 -2.518 -4.390 -2.625 0.040" Properties=species:S:1:pos:R:3 pbc="T T T"
S 0.830 -1.408 -1.259
S -0.657 1.074 -1.635
Cl -2.195 -1.312 0.020
F 0.000 0.000 0.000
Ti -2.022 -1.646 -2.873
```

Formation energy (no corrections), meV per atom: 261
Calculated density, g/cm³: 3.17
Raw total energy, eV per atom: -3.712

TaTlNi2 after structural relaxation, computed with GGA-PBE.

Structure (extended XYZ):
```
4
Lattice="-4.143 -3.474 0.354 -1.020 -2.613 4.636 0.475 4.701 -2.652" Properties=species:S:1:pos:R:3 pbc="T T T"
Ni -5.070 -5.978 4.900
Ni -3.203 -1.001 0.174
Ta -2.669 -3.147 2.579
Tl -1.490 -0.391 2.168
```

Calculated density, g/cm³: 13.45
Raw total energy, eV per atom: -6.171
Formation enthalpy at 0 K, eV/f.u.: 1.10

Dy3Er2Tl3 after structural relaxation, computed with GGA-PBE.

Structure (extended XYZ):
```
8
Lattice="-0.559 1.523 -3.385 -0.611 -4.892 -2.101 -10.468 2.185 4.793" Properties=species:S:1:pos:R:3 pbc="T T T"
Dy -3.381 -1.558 -2.224
Dy -8.257 0.374 1.531
Dy -0.279 0.762 -1.692
Er -5.484 0.997 -0.727
Er -6.153 -2.181 0.034
Tl -2.661 0.121 0.494
Tl -0.306 -2.446 -1.050
Tl -8.977 -1.304 -1.186
```

Calculated density, g/cm³: 10.53
Raw total energy, eV per atom: -4.020
Formation enthalpy at 0 K, eV/f.u.: -2.13

Na3NpBi2Te6 after structural relaxation, computed with GGA-PBE.

Structure (extended XYZ):
```
12
Lattice="7.809 -0.002 0.003 -3.905 6.763 0.003 -1.300 -2.251 7.626" Properties=species:S:1:pos:R:3 pbc="T T T"
Na -2.538 4.473 3.816
Na 5.143 0.037 3.816
Na 1.302 2.255 3.816
Np 0.000 0.000 0.000
Bi 0.009 4.503 0.003
Bi 3.896 2.258 0.003
Te 3.905 2.263 5.828
Te 2.606 4.512 1.826
Te -1.301 2.246 1.804
Te 0.009 4.514 5.828
Te -0.002 -0.003 5.806
Te 2.596 -0.004 1.804
```

Formation energy (no corrections), meV per atom: -622
Calculated density, g/cm³: 6.14
Raw total energy, eV per atom: -4.248

RbHf2Ru after structural relaxation, computed with GGA-PBE.

Structure (extended XYZ):
```
8
Lattice="-5.441 2.877 2.011 -1.684 -5.394 3.162 -0.018 1.197 8.663" Properties=species:S:1:pos:R:3 pbc="T T T"
Ru 0.000 0.000 0.000
Ru -4.511 1.407 6.630
Hf -4.976 2.142 4.321
Hf -5.818 -0.555 5.902
Hf -2.265 1.302 7.647
Hf -4.985 2.741 8.653
Rb -3.562 -1.259 2.586
Rb -2.632 -2.728 7.206
```

Calculated density, g/cm³: 5.78
Raw total energy, eV per atom: -6.457
Formation enthalpy at 0 K, eV/f.u.: 4.32

Ca2Cd13 after structural relaxation, computed with GGA-PBE.

Structure (extended XYZ):
```
15
Lattice="7.983 0.000 0.000 3.992 6.914 0.000 3.992 2.305 7.020" Properties=species:S:1:pos:R:3 pbc="T T T"
Ca 7.983 4.609 6.824
Ca 7.983 4.609 0.196
Cd 7.983 4.609 3.510
Cd 7.983 7.440 2.496
Cd 5.532 3.194 2.496
Cd 10.435 3.194 2.496
Cd 5.532 6.024 4.523
Cd 7.983 1.778 4.523
Cd 10.435 6.024 4.523
Cd 7.983 7.521 5.598
Cd 5.461 3.153 5.598
Cd 10.505 3.153 5.598
Cd 5.461 6.065 1.421
Cd 7.983 1.697 1.421
Cd 10.505 6.065 1.421
```

Calculated density, g/cm³: 6.61
Raw total energy, eV per atom: -1.107
Formation enthalpy at 0 K, eV/f.u.: -0.70

Ti5Cu2Rh after structural relaxation, computed with GGA-PBE.

Structure (extended XYZ):
```
16
Lattice="-2.960 0.802 -5.490 -4.921 -3.253 2.178 1.335 6.637 3.851" Properties=species:S:1:pos:R:3 pbc="T T T"
Ti -3.932 2.758 1.345
Ti -6.894 -0.499 -1.136
Ti 0.000 0.000 0.000
Ti -3.941 -1.226 -1.656
Ti 0.348 4.685 1.675
Ti -1.983 4.523 -0.694
Ti -1.601 2.919 3.713
Ti -4.563 -0.337 1.233
Ti -4.946 1.266 -3.174
Ti -2.614 1.428 -0.806
Cu -2.202 -1.093 0.079
Cu -2.518 0.078 -3.181
Cu -5.364 -2.529 -0.131
Cu -5.679 -1.359 -3.392
Rh -5.243 1.480 -0.559
Rh -1.303 2.706 1.098
```

Calculated density, g/cm³: 6.16
Raw total energy, eV per atom: -7.026
Formation enthalpy at 0 K, eV/f.u.: -1.19

Ca2As4Rh5 after structural relaxation, computed with GGA-PBE.

Structure (extended XYZ):
```
11
Lattice="-5.568 -0.560 0.215 -2.578 -0.428 5.066 -3.518 7.111 0.358" Properties=species:S:1:pos:R:3 pbc="T T T"
Ca -5.754 1.310 0.279
Ca -3.332 5.242 0.295
As -6.048 4.902 2.007
As -5.616 1.221 3.632
As -2.904 1.553 1.777
As -8.760 4.570 3.863
Rh -2.784 -0.280 0.108
Rh -1.289 -0.214 2.533
Rh -4.073 -0.494 2.641
Rh -4.440 3.202 2.766
Rh -7.224 2.922 2.873
```

Calculated density, g/cm³: 7.19
Raw total energy, eV per atom: -6.064
Formation enthalpy at 0 K, eV/f.u.: -7.34

PrNd3Er2 after structural relaxation, computed with GGA-PBE.

Structure (extended XYZ):
```
6
Lattice="3.505 0.000 0.000 0.000 6.011 0.000 -1.752 -3.006 9.858" Properties=species:S:1:pos:R:3 pbc="T T T"
Pr 0.000 0.000 0.000
Nd 0.000 3.006 0.000
Nd 1.752 3.006 6.094
Nd 0.000 0.000 3.764
Er 1.752 3.006 2.728
Er 0.000 0.000 7.130
```

Calculated density, g/cm³: 7.26
Raw total energy, eV per atom: -4.378
Formation enthalpy at 0 K, eV/f.u.: 1.94

AlP2O after structural relaxation, computed with GGA-PBE.

Structure (extended XYZ):
```
4
Lattice="0.000 2.958 2.958 2.958 0.000 2.958 2.958 2.958 0.000" Properties=species:S:1:pos:R:3 pbc="T T T"
P 1.479 1.479 1.479
P 4.436 4.436 4.436
Al 2.958 2.958 2.958
O 0.000 0.000 0.000
```

Formation energy (no corrections), meV per atom: 404
Calculated density, g/cm³: 3.37
Raw total energy, eV per atom: -4.476

ReTeMo2 after structural relaxation, computed with GGA-PBE.

Structure (extended XYZ):
```
4
Lattice="3.029 0.000 0.000 0.000 4.202 0.000 0.000 0.000 5.357" Properties=species:S:1:pos:R:3 pbc="T T T"
Mo 0.000 0.000 0.100
Mo 0.000 0.000 2.578
Re 1.515 2.101 1.339
Te 1.515 2.101 4.018
```

Formation energy (no corrections), meV per atom: 458
Calculated density, g/cm³: 12.31
Raw total energy, eV per atom: -8.855

LaTmNb after structural relaxation, computed with GGA-PBE.

Structure (extended XYZ):
```
18
Lattice="6.373 0.000 0.000 3.186 5.519 0.000 3.186 1.840 13.972" Properties=species:S:1:pos:R:3 pbc="T T T"
Tm 9.559 5.519 11.427
Tm 3.186 1.840 2.545
Tm 3.186 1.840 12.420
Tm 9.559 5.519 1.552
Tm 3.186 1.840 6.350
Tm 9.559 5.519 7.623
La 4.735 4.625 4.608
La 6.373 1.788 4.608
La 8.010 4.625 4.608
La 8.010 2.734 9.365
La 6.373 5.570 9.365
La 4.735 2.734 9.365
Nb 6.373 3.679 12.104
Nb 6.373 3.679 1.869
Nb 1.593 2.759 0.000
Nb 3.186 0.000 0.000
Nb 4.779 2.759 0.000
Nb 6.373 3.679 6.986
```

Calculated density, g/cm³: 8.13
Raw total energy, eV per atom: -6.173
Formation enthalpy at 0 K, eV/f.u.: 0.95

KSi after structural relaxation, computed with GGA-PBE.

Structure (extended XYZ):
```
8
Lattice="0.755 1.266 5.993 -4.450 -3.880 -1.797 5.689 -6.865 0.734" Properties=species:S:1:pos:R:3 pbc="T T T"
K 1.422 -1.716 0.184
K 4.267 -5.149 0.551
K 1.552 -7.314 1.350
K 0.442 -2.165 3.580
Si -1.980 -3.051 0.894
Si 2.599 -4.768 3.858
Si 3.974 -6.428 4.036
Si -0.605 -4.711 1.072
```

Formation energy (no corrections), meV per atom: 275
Calculated density, g/cm³: 1.51
Raw total energy, eV per atom: -2.985

Ce3SmEr2Se6 after structural relaxation, computed with GGA-PBE.

Structure (extended XYZ):
```
12
Lattice="7.137 -0.004 -0.001 -3.570 6.180 -0.001 -1.190 -2.061 6.848" Properties=species:S:1:pos:R:3 pbc="T T T"
Ce -2.420 4.142 3.423
Ce 4.797 -0.026 3.423
Ce 1.188 2.058 3.423
Sm 0.000 0.000 0.000
Er -0.006 4.122 -0.001
Er 3.573 2.055 -0.001
Se 3.593 2.009 5.205
Se 2.350 4.069 1.614
Se -1.216 2.106 1.641
Se -0.055 4.116 5.205
Se 0.027 0.046 5.232
Se 2.432 -0.001 1.641
```

Formation energy (no corrections), meV per atom: -1790
Calculated density, g/cm³: 7.58
Raw total energy, eV per atom: -6.170

NdPaAl4 after structural relaxation, computed with GGA-PBE.

Structure (extended XYZ):
```
6
Lattice="-2.846 1.663 4.532 -5.051 -2.170 1.089 -0.674 -3.498 4.326" Properties=species:S:1:pos:R:3 pbc="T T T"
Pa 0.000 0.000 0.000
Nd -2.143 -1.001 2.487
Al -5.026 -0.744 4.046
Al -2.820 -1.414 5.678
Al -5.365 -2.507 6.226
Al -3.931 -3.345 3.942
```

Calculated density, g/cm³: 6.45
Raw total energy, eV per atom: -5.196
Formation enthalpy at 0 K, eV/f.u.: -1.94